Material: La8NdSm4
Method: DFT, GGA-PBE
State: optimized geometry

## Properties
- Formation energy: 8.4 kcal/mol of atoms

The structure in CIF format:
```
data_La8NdSm4
_chemical_formula_sum 'La24 Nd3 Sm12'
_space_group_name_H-M_alt 'R -3 m'
_space_group_IT_number 166
_space_group_name_Hall '-R 3 2"'
_cell_length_a 11.9470
_cell_length_b 11.9470
_cell_length_c 11.9408
_cell_angle_alpha 90.00
_cell_angle_beta 90.00
_cell_angle_gamma 120.00
loop_
_atom_site_label
_atom_site_fract_x
_atom_site_fract_y
_atom_site_fract_z
La1 0.0000 0.0000 0.2395
La2 0.0028 0.5014 0.6703
Nd1 0.0000 0.0000 0.5000
Sm1 0.0000 0.0000 0.0000
Sm2 0.0000 0.5000 0.0000
```

Material: NaLi2W
Method: DFT, GGA-PBE
State: optimized geometry

## Properties
- Formation energy: 30.3 kcal/mol of atoms
- Energy above the lowest structure with this stoichiometry: 24 meV/atom

The structure in CIF format:
```
data_NaLi2W
_chemical_formula_sum 'Na4 Li8 W4'
_space_group_name_H-M_alt 'I -4 2 d'
_space_group_IT_number 122
_space_group_name_Hall 'I -4 2bw'
_cell_length_a 7.176
_cell_length_b 7.176
_cell_length_c 5.931
_cell_angle_alpha 90.00
_cell_angle_beta 90.00
_cell_angle_gamma 90.00
loop_
_atom_site_label
_atom_site_fract_x
_atom_site_fract_y
_atom_site_fract_z
Na1 0.000 0.000 0.000
Li1 0.244 0.750 0.125
W1 0.000 0.000 0.500
```

Material: VCr2N
Method: DFT, GGA-PBE
State: optimized geometry

## Properties
- ΔE_f (raw): -79 kJ/mol of formula units

The structure in CIF format:
```
data_VCr2N
_chemical_formula_sum 'V4 Cr8 N4'
_space_group_name_H-M_alt 'I -4 2 d'
_space_group_IT_number 122
_space_group_name_Hall 'I -4 2bw'
_cell_length_a 6.555
_cell_length_b 6.555
_cell_length_c 4.104
_cell_angle_alpha 90.00
_cell_angle_beta 90.00
_cell_angle_gamma 90.00
loop_
_atom_site_label
_atom_site_fract_x
_atom_site_fract_y
_atom_site_fract_z
V1 0.000 0.000 0.000
Cr1 0.132 0.250 0.625
N1 0.000 0.000 0.500
```

Material: ZnBiSb2Ru
Method: DFT, GGA-PBE
State: optimized geometry

## Properties
- ΔE_f (raw): 398 kJ/mol of formula units

The structure in CIF format:
```
data_ZnBiSb2Ru
_chemical_formula_sum 'Zn1 Bi1 Sb2 Ru1'
_space_group_name_H-M_alt 'P 4/m m m'
_space_group_IT_number 123
_space_group_name_Hall '-P 4 2'
_cell_length_a 5.200
_cell_length_b 5.200
_cell_length_c 4.711
_cell_angle_alpha 90.00
_cell_angle_beta 90.00
_cell_angle_gamma 90.00
loop_
_atom_site_label
_atom_site_fract_x
_atom_site_fract_y
_atom_site_fract_z
Zn1 0.000 0.000 0.000
Bi1 0.500 0.500 0.500
Sb1 0.000 0.500 0.000
Ru1 0.000 0.000 0.500
```